Run w
The following is a PBE-GGA calculation of a geometry-optimized LiYIN2 structure, from Alexandria via LeMat-Bulk.

The space group is P4/mmm (No. 123) and the conventional cell measures 4.297, 4.297 and 4.647 Å, with angles of 90.00, 90.00 and 90.00 degrees. The distinct sites, in fractional coordinates, are Li at (0.000, 0.000, 0.000), Y at (0.500, 0.500, 0.500), I at (0.000, 0.000, 0.500) and N at (0.000, 0.500, 0.000).

The volume is 17.16 Å³/atom. The total magnetization is 2.99 μB/f.u. For the density of states at the Fermi level, the calculation gives 1.85 states/eV/cell.


Run x
The following is a PBE-GGA calculation of a geometry-optimized LiYIN2 structure, from Alexandria via LeMat-Bulk.

The space group is P4/mmm (No. 123) and the conventional cell measures 4.464, 4.464 and 6.471 Å, with angles of 90.00, 90.00 and 90.00 degrees. The distinct sites, in fractional coordinates, are Li at (0.000, 0.000, 0.000), Y at (0.500, 0.500, 0.500), I at (0.500, 0.500, 0.000) and N at (0.000, 0.500, 0.500).

The volume is 25.79 Å³/atom. The total magnetization is 3.01 μB/f.u. For the density of states at the Fermi level, the calculation gives 2.08 states/eV/cell.


Which one is most stable, and which one is least stable? run x is the most stable of them, while run w is the least stable.


Run w
The following is a PBE-GGA calculation of a geometry-optimized LiYI2N structure, from Alexandria via LeMat-Bulk.

The space group is P4/mmm (No. 123) and the conventional cell measures 6.228, 6.228 and 4.163 Å, with angles of 90.00, 90.00 and 90.00 degrees. The distinct sites, in fractional coordinates, are Li at (0.000, 0.000, 0.000), Y at (0.500, 0.500, 0.500), I at (0.000, 0.500, 0.500) and N at (0.500, 0.500, 0.000).

The volume is 32.29 Å³/atom. The total magnetization is 0.18 μB/f.u. For the density of states at the Fermi level, the calculation gives 2.51 states/eV/cell.


Run x
The following is a PBE-GGA calculation of a geometry-optimized LiYI2N structure, from Alexandria via LeMat-Bulk.

The space group is P4/mmm (No. 123) and the conventional cell measures 5.498, 5.498 and 3.904 Å, with angles of 90.00, 90.00 and 90.00 degrees. The distinct sites, in fractional coordinates, are Li at (0.000, 0.000, 0.000), Y at (0.500, 0.500, 0.500), I at (0.000, 0.500, 0.000) and N at (0.000, 0.000, 0.500).

The volume is 23.60 Å³/atom. The total magnetization is 1.48 μB/f.u. For the density of states at the Fermi level, the calculation gives 2.49 states/eV/cell.


Which one is most stable, and which one is least stable? run w is the most stable of them, while run x is the least stable.


Run w
The following is a PBE-GGA calculation of a geometry-optimized LiZnIN2 structure, from Alexandria via LeMat-Bulk.

The space group is P4/mmm (No. 123) and the conventional cell measures 4.003, 4.003 and 6.516 Å, with angles of 90.00, 90.00 and 90.00 degrees. The distinct sites, in fractional coordinates, are Li at (0.000, 0.000, 0.000), Zn at (0.500, 0.500, 0.500), I at (0.500, 0.500, 0.000) and N at (0.000, 0.500, 0.500).

The volume is 20.88 Å³/atom. The total magnetization is 3.45 μB/f.u. For the density of states at the Fermi level, the calculation gives 1.41 states/eV/cell.


Run x
The following is a PBE-GGA calculation of a geometry-optimized LiZnIN2 structure, from Alexandria via LeMat-Bulk.

The space group is P4/mmm (No. 123) and the conventional cell measures 4.139, 4.139 and 5.910 Å, with angles of 90.00, 90.00 and 90.00 degrees. The distinct sites, in fractional coordinates, are Li at (0.000, 0.000, 0.000), Zn at (0.500, 0.500, 0.500), I at (0.000, 0.000, 0.500) and N at (0.000, 0.500, 0.000).

The volume is 20.25 Å³/atom. The total magnetization is 4.70 μB/f.u. For the density of states at the Fermi level, the calculation gives 1.54 states/eV/cell.


Which one is most stable, and which one is least stable? run w is the most stable of them, while run x is the least stable.


Run w
The following is a PBE-GGA calculation of a geometry-optimized LiZrI2N structure, from Alexandria via LeMat-Bulk.

The space group is P4/mmm (No. 123) and the conventional cell measures 5.987, 5.987 and 4.059 Å, with angles of 90.00, 90.00 and 90.00 degrees. The distinct sites, in fractional coordinates, are Li at (0.000, 0.000, 0.000), Zr at (0.500, 0.500, 0.500), I at (0.000, 0.500, 0.500) and N at (0.500, 0.500, 0.000).

The volume is 29.09 Å³/atom. The total magnetization is 0.00 μB/f.u. For the density of states at the Fermi level, the calculation gives 1.53 states/eV/cell.


Run x
The following is a PBE-GGA calculation of a geometry-optimized LiZrI2N structure, from Alexandria via LeMat-Bulk.

The space group is P4/mmm (No. 123) and the conventional cell measures 5.280, 5.280 and 3.683 Å, with angles of 90.00, 90.00 and 90.00 degrees. The distinct sites, in fractional coordinates, are Li at (0.000, 0.000, 0.000), Zr at (0.500, 0.500, 0.500), I at (0.000, 0.500, 0.000) and N at (0.000, 0.000, 0.500).

The volume is 20.53 Å³/atom. The total magnetization is 0.00 μB/f.u. For the density of states at the Fermi level, the calculation gives 3.92 states/eV/cell.


Which one is most stable, and which one is least stable? run w is the most stable of them, while run x is the least stable.